Entry 1:
Entry from the Alexandria database: a geometry-optimized Tm2GePt3 structure (GGA-PBE).

Results
- DFT formation energy: -1076 meV per atom

The structure in CIF format:
```
data_Tm2GePt3
_chemical_formula_sum 'Tm2 Ge1 Pt3'
_cell_length_a 3.497
_cell_length_b 4.434
_cell_length_c 7.672
_cell_angle_alpha 90.00
_cell_angle_beta 90.00
_cell_angle_gamma 90.00
_space_group_name_H-M_alt 'P 1'
_space_group_IT_number 1
loop_
_space_group_symop_operation_xyz
'x,y,z'
loop_
_atom_site_label
_atom_site_type_symbol
_atom_site_fract_x
_atom_site_fract_y
_atom_site_fract_z
Tm1 Tm 0.000 0.500 0.979
Tm2 Tm 0.000 0.000 0.523
Ge1 Ge 0.500 0.500 0.321
Pt1 Pt 0.500 0.000 0.843
Pt2 Pt 0.500 0.000 0.193
Pt3 Pt 0.500 0.500 0.641
```


Entry 2:
Entry from the Alexandria database: a geometry-optimized La2Al3Ge4 structure (GGA-PBE).

Results
- DFT formation energy: -528 meV per atom

The structure in CIF format:
```
data_La2Al3Ge4
_chemical_formula_sum 'La4 Al6 Ge8'
_cell_length_a 8.220
_cell_length_b 8.220
_cell_length_c 8.078
_cell_angle_alpha 90.00
_cell_angle_beta 90.00
_cell_angle_gamma 136.19
_space_group_name_H-M_alt 'P 1'
_space_group_IT_number 1
loop_
_space_group_symop_operation_xyz
'x,y,z'
loop_
_atom_site_label
_atom_site_type_symbol
_atom_site_fract_x
_atom_site_fract_y
_atom_site_fract_z
La1 La 0.114 0.886 0.583
La2 La 0.386 0.614 0.083
La3 La 0.614 0.386 0.917
La4 La 0.886 0.114 0.417
Al1 Al 0.034 0.466 0.750
Al2 Al 0.000 0.000 0.000
Al3 Al 0.534 0.966 0.750
Al4 Al 0.500 0.500 0.500
Al5 Al 0.966 0.534 0.250
Al6 Al 0.466 0.034 0.250
Ge1 Ge 0.701 0.799 0.750
Ge2 Ge 0.201 0.299 0.750
Ge3 Ge 0.299 0.201 0.250
Ge4 Ge 0.686 0.314 0.551
Ge5 Ge 0.799 0.701 0.250
Ge6 Ge 0.814 0.186 0.051
Ge7 Ge 0.186 0.814 0.949
Ge8 Ge 0.314 0.686 0.449
```


Entry 3:
Entry from the Alexandria database: a geometry-optimized Ba2In3SnPd4 structure (GGA-PBE).

Results
- DFT formation energy: -625 meV per atom

The structure in CIF format:
```
data_Ba2In3SnPd4
_chemical_formula_sum 'Ba2 In3 Sn1 Pd4'
_cell_length_a 4.864
_cell_length_b 4.864
_cell_length_c 10.702
_cell_angle_alpha 90.00
_cell_angle_beta 90.00
_cell_angle_gamma 90.00
_space_group_name_H-M_alt 'P 1'
_space_group_IT_number 1
loop_
_space_group_symop_operation_xyz
'x,y,z'
loop_
_atom_site_label
_atom_site_type_symbol
_atom_site_fract_x
_atom_site_fract_y
_atom_site_fract_z
Ba1 Ba 0.500 0.000 0.240
Ba2 Ba 0.000 0.500 0.760
In1 In 0.000 0.000 0.500
In2 In 0.500 0.000 0.881
In3 In 0.000 0.500 0.119
Sn1 Sn 0.500 0.500 0.500
Pd1 Pd 0.500 0.500 0.000
Pd2 Pd 0.000 0.000 0.000
Pd3 Pd 0.500 0.000 0.624
Pd4 Pd 0.000 0.500 0.376
```


Which formula does entry 1 have?
Tm2GePt3


Copy entry 3 word for word.
Entry from the Alexandria database: a geometry-optimized Ba2In3SnPd4 structure (GGA-PBE).

Results
- DFT formation energy: -625 meV per atom

The structure in CIF format:
```
data_Ba2In3SnPd4
_chemical_formula_sum 'Ba2 In3 Sn1 Pd4'
_cell_length_a 4.864
_cell_length_b 4.864
_cell_length_c 10.702
_cell_angle_alpha 90.00
_cell_angle_beta 90.00
_cell_angle_gamma 90.00
_space_group_name_H-M_alt 'P 1'
_space_group_IT_number 1
loop_
_space_group_symop_operation_xyz
'x,y,z'
loop_
_atom_site_label
_atom_site_type_symbol
_atom_site_fract_x
_atom_site_fract_y
_atom_site_fract_z
Ba1 Ba 0.500 0.000 0.240
Ba2 Ba 0.000 0.500 0.760
In1 In 0.000 0.000 0.500
In2 In 0.500 0.000 0.881
In3 In 0.000 0.500 0.119
Sn1 Sn 0.500 0.500 0.500
Pd1 Pd 0.500 0.500 0.000
Pd2 Pd 0.000 0.000 0.000
Pd3 Pd 0.500 0.000 0.624
Pd4 Pd 0.000 0.500 0.376
```